(1)
{"formula": "P2IrPb", "functional": "PBE", "state": "relaxed", "volume_a3_per_atom": 20.56, "formation_energy_ev_per_atom": 0.237, "dos_ef_per_ev_cell": 1.96, "magmom_total_mub_per_cell": 0.00, "crystal_system": "orthorhombic", "spacegroup": "Immm", "dft_energy_ev_per_atom": -5.6100, "cell": [[-1.513, 2.872, 4.733], [1.513, -2.872, 4.733], [1.513, 2.872, -4.733]], "species": ["P", "P", "Ir", "Pb"], "fractional_positions": [[0.192, 0.192, 0.000], [0.808, 0.808, 0.000], [0.000, 0.500, 0.500], [0.500, 0.000, 0.500]]}



(2)
{"formula": "Al2CdAu4", "functional": "PBE", "state": "relaxed", "volume_a3_per_atom": 18.67, "formation_energy_ev_per_atom": -0.217, "dos_ef_per_ev_cell": 2.85, "magmom_total_mub_per_cell": 0.00, "crystal_system": "monoclinic", "spacegroup": "C2/c", "dft_energy_ev_per_atom": -3.2893, "cell": [[2.396, -3.942, 0.000], [2.396, 3.942, 0.000], [-1.435, 0.000, 13.837]], "species": ["Al", "Al", "Al", "Al", "Cd", "Cd", "Au", "Au", "Au", "Au", "Au", "Au", "Au", "Au"], "fractional_positions": [[0.116, 0.258, 0.434], [0.258, 0.116, 0.934], [0.742, 0.884, 0.066], [0.884, 0.742, 0.566], [0.285, 0.715, 0.250], [0.715, 0.285, 0.750], [0.000, 0.500, 0.000], [0.060, 0.940, 0.750], [0.263, 0.472, 0.622], [0.472, 0.263, 0.122], [0.500, 0.000, 0.500], [0.528, 0.737, 0.878], [0.737, 0.528, 0.378], [0.940, 0.060, 0.250]]}



(3)
{"formula": "MnCd2As", "functional": "PBE", "state": "relaxed", "volume_a3_per_atom": 24.41, "formation_energy_ev_per_atom": 0.347, "dos_ef_per_ev_cell": 5.33, "magmom_total_mub_per_cell": 6.06, "crystal_system": "tetragonal", "spacegroup": "I-42d", "dft_energy_ev_per_atom": -3.5657, "cell": [[-4.605, 4.605, 2.302], [4.605, -4.605, 2.302], [4.605, 4.605, -2.302]], "species": ["Mn", "Mn", "Cd", "Cd", "Cd", "Cd", "As", "As"], "fractional_positions": [[0.000, 0.000, 0.000], [0.750, 0.250, 0.500], [0.024, 0.625, 0.899], [0.375, 0.274, 0.399], [0.726, 0.125, 0.101], [0.875, 0.976, 0.601], [0.250, 0.750, 0.500], [0.500, 0.500, 0.000]]}



(4)
{"formula": "InCo2Os", "functional": "PBE", "state": "relaxed", "volume_a3_per_atom": 14.13, "formation_energy_ev_per_atom": 0.413, "dos_ef_per_ev_cell": 6.16, "magmom_total_mub_per_cell": 3.62, "crystal_system": "tetragonal", "spacegroup": "I-4m2", "dft_energy_ev_per_atom": -6.6317, "cell": [[-1.878, 1.878, 4.003], [1.878, -1.878, 4.003], [1.878, 1.878, -4.003]], "species": ["In", "Co", "Co", "Os"], "fractional_positions": [[0.000, 0.000, 0.000], [0.500, 0.500, 0.000], [0.750, 0.250, 0.500], [0.250, 0.750, 0.500]]}



(5)
{"formula": "MgBeZn2", "functional": "PBE", "state": "relaxed", "de_polymorph_kj_per_mol_fu": 12, "volume_a3_per_atom": 14.66, "formation_energy_ev_per_atom": 0.139, "dos_ef_per_ev_cell": 0.48, "magmom_total_mub_per_cell": 0.00, "crystal_system": "tetragonal", "spacegroup": "P4mm", "dft_energy_ev_per_atom": -1.8279, "cell": [[2.852, 0.000, 0.000], [0.000, 2.852, 0.000], [0.000, 0.000, 7.210]], "species": ["Mg", "Be", "Zn", "Zn"], "fractional_positions": [[0.000, 0.000, 0.000], [0.500, 0.500, 0.746], [0.000, 0.000, 0.561], [0.500, 0.500, 0.298]]}



(6)
{"formula": "CeGdAgAu", "functional": "PBE", "state": "relaxed", "volume_a3_per_atom": 24.96, "formation_energy_ev_per_atom": -0.441, "dos_ef_per_ev_cell": 9.73, "magmom_total_mub_per_cell": 8.26, "crystal_system": "cubic", "spacegroup": "F-43m", "dft_energy_ev_per_atom": -6.9769, "cell": [[0.000, 3.682, 3.682], [3.682, 0.000, 3.682], [3.682, 3.682, 0.000]], "species": ["Ce", "Gd", "Ag", "Au"], "fractional_positions": [[0.000, 0.000, 0.000], [0.500, 0.500, 0.500], [0.750, 0.750, 0.750], [0.250, 0.250, 0.250]]}



(7)
{"formula": "Ba2PmAuO4", "functional": "PBE", "state": "relaxed", "volume_a3_per_atom": 22.62, "raw_formation_energy_mev_per_atom": -2052, "magmom_total_mub_per_cell": 0.00, "crystal_system": "tetragonal", "spacegroup": "I-4", "dft_energy_ev_per_atom": -6.0153, "cell": [[-2.941, 2.941, 5.231], [2.941, -2.941, 5.231], [2.941, 2.941, -5.231]], "species": ["Ba", "Ba", "Pm", "Au", "O", "O", "O", "O"], "fractional_positions": [[0.000, 0.000, 0.000], [0.750, 0.250, 0.500], [0.500, 0.500, 0.000], [0.250, 0.750, 0.500], [0.164, 0.615, 0.013], [0.385, 0.398, 0.550], [0.602, 0.152, 0.987], [0.848, 0.836, 0.450]]}



(8)
{"formula": "KSr2SbCl8", "functional": "PBE", "state": "relaxed", "volume_a3_per_atom": 33.44, "raw_formation_energy_mev_per_atom": -1831, "dos_ef_per_ev_cell": 0.00, "magmom_total_mub_per_cell": 0.00, "crystal_system": "monoclinic", "spacegroup": "P2/m", "dft_energy_ev_per_atom": -3.7772, "cell": [[6.573, 0.000, 0.000], [0.000, 9.030, 0.000], [-0.014, 0.000, 6.761]], "species": ["K", "Sr", "Sr", "Sb", "Cl", "Cl", "Cl", "Cl", "Cl", "Cl", "Cl", "Cl"], "fractional_positions": [[0.000, 0.000, 0.000], [0.500, 0.249, 0.500], [0.500, 0.751, 0.500], [0.000, 0.500, 0.000], [0.225, 0.286, 0.840], [0.225, 0.714, 0.840], [0.257, 0.500, 0.321], [0.277, 0.000, 0.355], [0.723, 0.000, 0.645], [0.743, 0.500, 0.679], [0.775, 0.286, 0.160], [0.775, 0.714, 0.160]]}



(9)
{"formula": "NaSi2Pt4", "functional": "PBE", "state": "relaxed", "de_polymorph_kj_per_mol_fu": 793, "volume_a3_per_atom": 19.35, "raw_formation_energy_mev_per_atom": 533, "dos_ef_per_ev_cell": 2.85, "magmom_total_mub_per_cell": 0.00, "crystal_system": "tetragonal", "spacegroup": "I4/mmm", "dft_energy_ev_per_atom": -4.6570, "cell": [[-2.323, 2.323, 6.272], [2.323, -2.323, 6.272], [2.323, 2.323, -6.272]], "species": ["Na", "Si", "Si", "Pt", "Pt", "Pt", "Pt"], "fractional_positions": [[0.000, 0.000, 0.000], [0.405, 0.405, 0.000], [0.595, 0.595, 0.000], [0.000, 0.500, 0.500], [0.230, 0.230, 0.000], [0.500, 0.000, 0.500], [0.770, 0.770, 0.000]]}



(10)
{"formula": "SmGe2Au4", "functional": "PBE", "state": "relaxed", "de_polymorph_kj_per_mol_fu": 20, "volume_a3_per_atom": 20.05, "formation_energy_ev_per_atom": -0.346, "dos_ef_per_ev_cell": 7.29, "magmom_total_mub_per_cell": 0.00, "crystal_system": "tetragonal", "spacegroup": "P4_2/mnm", "dft_energy_ev_per_atom": -4.2124, "cell": [[8.129, 0.000, 0.000], [0.000, 8.129, 0.000], [0.000, 0.000, 4.248]], "species": ["Sm", "Sm", "Ge", "Ge", "Ge", "Ge", "Au", "Au", "Au", "Au", "Au", "Au", "Au", "Au"], "fractional_positions": [[0.000, 0.000, 0.000], [0.500, 0.500, 0.500], [0.227, 0.227, 0.500], [0.273, 0.727, 0.000], [0.727, 0.273, 0.000], [0.773, 0.773, 0.500], [0.072, 0.677, 0.500], [0.177, 0.428, 0.000], [0.323, 0.928, 0.500], [0.428, 0.177, 0.000], [0.572, 0.823, 0.000], [0.677, 0.072, 0.500], [0.823, 0.572, 0.000], [0.928, 0.323, 0.500]]}



(11)
{"formula": "YZn3Pt", "functional": "PBE", "state": "relaxed", "de_polymorph_kj_per_mol_fu": 175, "volume_a3_per_atom": 21.72, "formation_energy_ev_per_atom": -0.228, "dos_ef_per_ev_cell": 4.41, "magmom_total_mub_per_cell": 0.00, "crystal_system": "cubic", "spacegroup": "Pm-3m", "dft_energy_ev_per_atom": -3.4938, "cell": [[4.771, 0.000, 0.000], [0.000, 4.771, 0.000], [0.000, 0.000, 4.771]], "species": ["Y", "Zn", "Zn", "Zn", "Pt"], "fractional_positions": [[0.000, 0.000, 0.000], [0.000, 0.500, 0.500], [0.500, 0.000, 0.500], [0.500, 0.500, 0.000], [0.500, 0.500, 0.500]]}



(12)
{"formula": "Rb2HfTe4Pd", "functional": "PBE", "state": "relaxed", "volume_a3_per_atom": 39.84, "raw_formation_energy_mev_per_atom": -714, "dos_ef_per_ev_cell": 16.83, "magmom_total_mub_per_cell": 0.00, "crystal_system": "orthorhombic", "spacegroup": "Fddd", "dft_energy_ev_per_atom": -4.4203, "cell": [[0.000, 7.010, 13.951], [3.259, 0.000, 13.951], [3.259, 7.010, 0.000]], "species": ["Rb", "Rb", "Rb", "Rb", "Hf", "Hf", "Te", "Te", "Te", "Te", "Te", "Te", "Te", "Te", "Pd", "Pd"], "fractional_positions": [[0.056, 0.056, 0.694], [0.306, 0.306, 0.944], [0.694, 0.694, 0.056], [0.944, 0.944, 0.306], [0.125, 0.125, 0.125], [0.875, 0.875, 0.875], [0.029, 0.338, 0.424], [0.291, 0.576, 0.662], [0.338, 0.029, 0.709], [0.424, 0.709, 0.029], [0.576, 0.291, 0.971], [0.662, 0.971, 0.291], [0.709, 0.424, 0.338], [0.971, 0.662, 0.576], [0.375, 0.375, 0.375], [0.625, 0.625, 0.625]]}